Record 1
Compound: Zr2IrW
Source: Alexandria via LeMat-Bulk
Functional: meta-GGA SCAN
Structure: single point on PBEsol structure

Cell lengths 5.295, 5.295, 5.295 Å; angles 143.54, 126.44, 66.53 degrees
Sites, in units of the cell vectors:
Zr1 0.247 0.247 0.000
Zr2 0.753 0.753 0.000
Ir1 0.000 0.500 0.500
W1 0.500 0.000 0.500

## Properties
Space group   No. 71
ΔE_f   -0.195 eV/atom

=====

Record 2
Compound: RbLi3In
Source: Alexandria via LeMat-Bulk
Functional: meta-GGA SCAN
Structure: single point on PBEsol structure

Cell lengths 5.433, 5.433, 5.433 Å; angles 90.00, 90.00, 90.00 degrees
Sites, in units of the cell vectors:
Rb1 0.000 0.000 0.000
Li1 0.000 0.500 0.500
Li2 0.500 0.000 0.500
Li3 0.500 0.500 0.000
In1 0.500 0.500 0.500

## Properties
Space group   No. 221
ΔE_f   -0.062 eV/atom

=====

Record 3
Compound: La2Te2Cl
Source: Alexandria via LeMat-Bulk
Functional: meta-GGA SCAN
Structure: single point on PBEsol structure

Cell lengths 8.300, 8.300, 4.287 Å; angles 90.00, 90.00, 90.00 degrees
Sites, in units of the cell vectors:
La1 0.158 0.342 0.000
La2 0.342 0.842 0.000
La3 0.658 0.158 0.000
La4 0.842 0.658 0.000
Te1 0.145 0.645 0.500
Te2 0.355 0.145 0.500
Te3 0.645 0.855 0.500
Te4 0.855 0.355 0.500
Cl1 0.000 0.000 0.000
Cl2 0.500 0.500 0.000

## Properties
Space group   No. 127
Energy relative to the elements, uncorrected   -1973 meV/atom

=====

Record 4
Compound: LiZr2Ir
Source: Alexandria via LeMat-Bulk
Functional: meta-GGA SCAN
Structure: single point on PBEsol structure

Cell lengths 4.617, 4.617, 4.617 Å; angles 60.00, 60.00, 60.00 degrees
Sites, in units of the cell vectors:
Li1 0.000 0.000 0.000
Zr1 0.250 0.250 0.250
Zr2 0.750 0.750 0.750
Ir1 0.500 0.500 0.500

## Properties
Space group   No. 225
ΔE_f   -0.626 eV/atom
Polymorph energy (0 for the lowest one)   0.00 eV per formula unit

=====

Record 5
Compound: NbGeP3
Source: Alexandria via LeMat-Bulk
Functional: meta-GGA SCAN
Structure: single point on PBEsol structure

Cell lengths 4.771, 4.771, 4.771 Å; angles 90.00, 90.00, 90.00 degrees
Sites, in units of the cell vectors:
Nb1 0.000 0.000 0.000
Ge1 0.500 0.500 0.500
P1 0.000 0.000 0.500
P2 0.000 0.500 0.000
P3 0.500 0.000 0.000

## Properties
Space group   No. 221
ΔE_f   0.603 eV/atom

=====

Record 6
Compound: Ta5Mo
Source: Alexandria via LeMat-Bulk
Functional: meta-GGA SCAN
Structure: single point on PBEsol structure

Cell lengths 4.602, 4.602, 5.625 Å; angles 90.00, 90.00, 120.00 degrees
Sites, in units of the cell vectors:
Ta1 0.000 0.000 0.000
Ta2 0.333 0.667 0.158
Ta3 0.333 0.667 0.657
Ta4 0.667 0.333 0.343
Ta5 0.667 0.333 0.842
Mo1 0.000 0.000 0.500

## Properties
Space group   No. 164
ΔE_f   -0.061 eV/atom
Polymorph energy (0 for the lowest one)   0.09 eV per formula unit

=====

Record 7
Compound: TaIr2Cl
Source: Alexandria via LeMat-Bulk
Functional: meta-GGA SCAN
Structure: single point on PBEsol structure

Cell lengths 5.406, 5.406, 5.406 Å; angles 149.87, 129.36, 60.06 degrees
Sites, in units of the cell vectors:
Ta1 0.000 0.000 0.000
Ir1 0.246 0.746 0.500
Ir2 0.754 0.254 0.500
Cl1 0.500 0.500 0.000

## Properties
Space group   No. 71
Polymorph energy (0 for the lowest one)   0.00 eV per formula unit
Energy relative to the elements, uncorrected   137 meV/atom

=====

Record 8
Compound: BeReAg2
Source: Alexandria via LeMat-Bulk
Functional: meta-GGA SCAN
Structure: single point on PBEsol structure

Cell lengths 2.653, 2.653, 8.072 Å; angles 90.00, 90.00, 100.38 degrees
Sites, in units of the cell vectors:
Be1 0.000 0.000 0.000
Re1 0.500 0.500 0.789
Ag1 0.000 0.000 0.507
Ag2 0.500 0.500 0.221

## Properties
Space group   No. 35
ΔE_f   0.263 eV/atom

=====

Respective DFT total energy values: -1.86471; -0.45278; -1.31237; -1.26226; -0.59090; -2.25498; -1.98639; -1.25991 Ha/atom.
Respective Fermi-level density of states values: 3.471; 1.971; 2.685; 1.671; 2.674; 6.686; 1.684; 1.834 states/eV/cell.